--- 1 ---
Crystalline BeSiMo2 at its relaxed geometry, computed with PBEsol.

POSCAR file:
```
BeSiMo2
1.0
5.925 0.000 0.000
0.000 5.925 0.000
0.000 0.000 5.925
Be Si Mo
4 4 8
direct
0.000 0.000 0.000
0.000 0.500 0.500
0.500 0.000 0.500
0.500 0.500 0.000
0.250 0.250 0.750
0.250 0.750 0.250
0.750 0.250 0.250
0.750 0.750 0.750
0.000 0.000 0.500
0.000 0.500 0.000
0.250 0.250 0.250
0.250 0.750 0.750
0.500 0.000 0.000
0.500 0.500 0.500
0.750 0.250 0.750
0.750 0.750 0.250
```

- Space-group type: F-43m (216)
- Mass density: 7314 kg/m3
- V: 208.0 Å³ per cell
- Density of states at the Fermi level: 3.98 states/eV/cell

--- 2 ---
Crystalline BeSiMo2 at its relaxed geometry, computed with PBEsol.

POSCAR file:
```
BeSiMo2
1.0
3.417 0.000 0.000
0.000 3.254 0.000
0.000 0.000 9.088
Be Si Mo
2 2 4
direct
0.000 0.000 0.000
0.000 0.500 0.500
0.500 0.000 0.853
0.500 0.500 0.353
0.000 0.000 0.269
0.000 0.500 0.769
0.500 0.000 0.567
0.500 0.500 0.067
```

- Space-group type: Amm2 (38)
- Mass density: 7523 kg/m3
- V: 101.1 Å³ per cell
- Density of states at the Fermi level: 4.54 states/eV/cell

Stability ranking, top entry: 2; the second entry is 251 meV per atom less favorable.

--- 1 ---
Crystalline BeSi2Mo at its relaxed geometry, computed with PBEsol.

POSCAR file:
```
BeSi2Mo
1.0
5.835 0.000 0.000
0.000 5.835 0.000
0.000 0.000 5.835
Be Si Mo
4 8 4
direct
0.000 0.000 0.000
0.000 0.500 0.500
0.500 0.000 0.500
0.500 0.500 0.000
0.000 0.000 0.500
0.000 0.500 0.000
0.250 0.250 0.250
0.250 0.750 0.750
0.500 0.000 0.000
0.500 0.500 0.500
0.750 0.250 0.750
0.750 0.750 0.250
0.250 0.250 0.750
0.250 0.750 0.250
0.750 0.250 0.250
0.750 0.750 0.750
```

- Space-group type: F-43m (216)
- Mass density: 5388 kg/m3
- V: 198.6 Å³ per cell
- Density of states at the Fermi level: 12.98 states/eV/cell

--- 2 ---
Crystalline BeSi2Mo at its relaxed geometry, computed with PBEsol.

POSCAR file:
```
BeSi2Mo
1.0
6.616 0.000 0.000
0.000 6.616 0.000
0.000 0.000 4.808
Be Si Mo
4 8 4
direct
0.000 0.000 0.000
0.000 0.500 0.250
0.500 0.000 0.750
0.500 0.500 0.500
0.209 0.250 0.125
0.250 0.709 0.375
0.250 0.791 0.875
0.291 0.250 0.625
0.709 0.750 0.625
0.750 0.209 0.875
0.750 0.291 0.375
0.791 0.750 0.125
0.000 0.000 0.500
0.000 0.500 0.750
0.500 0.000 0.250
0.500 0.500 0.000
```

- Space-group type: I-42d (122)
- Mass density: 5086 kg/m3
- V: 210.4 Å³ per cell
- Density of states at the Fermi level: 7.60 states/eV/cell

Stability ranking, top entry: 2; the second entry is 8 meV per atom less favorable.